[1]
The following is a DFT calculation (PBE) of a relaxed Th2TlBi crystal.

Cell and atoms, written as POSCAR:
```
Th2TlBi
1.0
5.157 0.000 0.000
0.000 5.157 0.000
0.000 0.000 4.519
Th Tl Bi
2 1 1
Direct
0.000 0.500 0.000
0.500 0.000 0.000
0.000 0.000 0.500
0.500 0.500 0.500
```

## Properties
Its crystal system is tetragonal. The calculation puts the total energy at -22.25 eV per cell. The calculation puts the energy above the most stable polymorph in this dataset at 0 meV/atom. As for the formation energy: -0.290 eV/atom. The symmetry is P4/mmm, No. 123.



[2]
The following is a DFT calculation (PBE) of a relaxed Th4TlBi crystal.

Cell and atoms, written as POSCAR:
```
Th4TlBi
1.0
4.197 0.000 0.000
0.000 4.197 0.000
0.000 0.000 10.740
Th Tl Bi
4 1 1
Direct
0.000 0.000 0.149
0.000 0.000 0.851
0.500 0.500 0.344
0.500 0.500 0.656
0.500 0.500 0.000
0.000 0.000 0.500
```

## Properties
Its crystal system is tetragonal. The calculation puts the total energy at -36.66 eV per cell. The calculation puts the energy above the most stable polymorph in this dataset at 101 meV/atom. As for the formation energy: -0.122 eV/atom. The symmetry is P4/mmm, No. 123.



[3]
The following is a DFT calculation (PBE) of a relaxed Th2TlBi crystal.

Cell and atoms, written as POSCAR:
```
Th2TlBi
1.0
0.000 3.934 3.934
3.934 0.000 3.934
3.934 3.934 0.000
Th Tl Bi
2 1 1
Direct
0.250 0.250 0.250
0.750 0.750 0.750
0.000 0.000 0.000
0.500 0.500 0.500
```

## Properties
Its crystal system is cubic. The calculation puts the total energy at -21.95 eV per cell. The calculation puts the energy above the most stable polymorph in this dataset at 74 meV/atom. As for the formation energy: -0.216 eV/atom. The symmetry is Fm-3m, No. 225.



[4]
The following is a DFT calculation (PBE) of a relaxed Th8Tl3Bi2 crystal.

Cell and atoms, written as POSCAR:
```
Th8Tl3Bi2
1.0
7.338 -4.643 0.000
7.338 4.643 0.000
-0.156 0.000 6.388
Th Tl Bi
8 3 2
Direct
0.070 0.697 0.103
0.093 0.093 0.388
0.303 0.930 0.897
0.321 0.321 0.647
0.679 0.679 0.353
0.697 0.070 0.103
0.907 0.907 0.612
0.930 0.303 0.897
0.318 0.682 0.500
0.500 0.500 0.000
0.682 0.318 0.500
0.281 0.281 0.144
0.719 0.719 0.856
```

## Properties
Its crystal system is monoclinic. The calculation puts the total energy at -73.76 eV per cell. As for the formation energy: 0.035 eV/atom. The symmetry is C2/m, No. 12.



[5]
The following is a DFT calculation (PBE) of a relaxed Th5Tl4Bi crystal.

Cell and atoms, written as POSCAR:
```
Th5Tl4Bi
1.0
4.158 0.000 0.000
0.000 4.158 0.000
0.000 0.000 17.295
Th Tl Bi
5 4 1
Direct
0.000 0.000 0.000
0.000 0.000 0.198
0.000 0.000 0.397
0.000 0.000 0.603
0.000 0.000 0.802
0.500 0.500 0.100
0.500 0.500 0.294
0.500 0.500 0.706
0.500 0.500 0.900
0.500 0.500 0.500
```

## Properties
Its crystal system is tetragonal. The calculation puts the total energy at -52.21 eV per cell. As for the formation energy: -0.176 eV/atom. The symmetry is P4/mmm, No. 123.



[6]
The following is a DFT calculation (PBE) of a relaxed ThTl2Bi crystal.

Cell and atoms, written as POSCAR:
```
ThTl2Bi
1.0
4.816 0.000 0.000
0.000 4.816 0.000
0.000 0.000 5.021
Th Tl Bi
1 2 1
Direct
0.000 0.000 0.000
0.000 0.500 0.500
0.500 0.000 0.500
0.500 0.500 0.000
```

## Properties
Its crystal system is tetragonal. The calculation puts the total energy at -17.01 eV per cell. The calculation puts the energy above the most stable polymorph in this dataset at 0 meV/atom. As for the formation energy: -0.243 eV/atom. The symmetry is P4/mmm, No. 123.



[7]
The following is a DFT calculation (PBE) of a relaxed TmThTlBi crystal.

Cell and atoms, written as POSCAR:
```
TmThTlBi
1.0
0.000 3.878 3.878
3.878 0.000 3.878
3.878 3.878 0.000
Tm Th Tl Bi
1 1 1 1
Direct
0.000 0.000 0.000
0.500 0.500 0.500
0.250 0.250 0.250
0.750 0.750 0.750
```

## Properties
Its crystal system is cubic. The calculation puts the total energy at -19.21 eV per cell. As for the formation energy: -0.267 eV/atom. The symmetry is F-43m, No. 216.



[8]
The following is a DFT calculation (PBE) of a relaxed YThTlBi crystal.

Cell and atoms, written as POSCAR:
```
YThTlBi
1.0
0.000 3.897 3.897
3.897 0.000 3.897
3.897 3.897 0.000
Y Th Tl Bi
1 1 1 1
Direct
0.000 0.000 0.000
0.500 0.500 0.500
0.750 0.750 0.750
0.250 0.250 0.250
```

## Properties
Its crystal system is cubic. The calculation puts the total energy at -21.38 eV per cell. As for the formation energy: -0.312 eV/atom. The symmetry is F-43m, No. 216.